First-principles (PBE with a Hubbard U) data for a relaxed structure of Mo2IO, as listed in Alexandria via LeMat-Bulk.

Unit cell a=6.9887 b=6.9887 c=6.9887 alpha=90.00 beta=90.00 gamma=90.00
Closest atoms and distances in Å follow each position.
Space group Fm-3m (No. 225)
Asymmetric unit:
Mo 0.2500 0.2500 0.2500 x8  4 O 3.03, 4 I 3.03
I 0.0000 0.0000 0.0000 x4  8 Mo 3.03
O 0.0000 0.0000 0.5000 x4  8 Mo 3.03

Results
Total magnetization (μB per cell): 36.00
Offset from the most stable computed form (eV/atom): 0.848
Final energy (eV/atom): -4.229